No. 1
A plane-wave DFT calculation with GGA-PBE was carried out for a relaxed structure of Tb3Pm6PrDy2.

Computed properties:
**Electronic total energy**: -4.68 eV per atom
**Total magnetization**: 0.000 Bohr magnetons per cell
**DOS at the Fermi energy**: 1.289 states/eV/atom
**Formation energy from the elements**: 0.31 kcal/mol of atoms

Cell: 6.267 6.267 11.959 Å, 95.01 95.01 119.99°
Element x y z (fractional)
Tb 0.167 0.833 0.500
Tb 0.833 0.167 0.500
Tb 0.500 0.500 0.500
Pm 0.916 0.581 0.749
Pm 0.750 0.750 0.251
Pm 0.084 0.419 0.251
Pm 0.581 0.916 0.749
Pm 0.250 0.250 0.749
Pm 0.419 0.084 0.251
Pr 0.000 0.000 0.000
Dy 0.333 0.667 0.000
Dy 0.667 0.333 0.000



No. 2
A plane-wave DFT calculation with GGA-PBE was carried out for a relaxed structure of TbPm4PrDy2.

Computed properties:
**Electronic total energy**: -4.31 eV per atom
**Total magnetization**: 0.003 Bohr magnetons per cell
**DOS at the Fermi energy**: 2.415 states/eV/atom
**Formation energy from the elements**: 9.10 kcal/mol of atoms

Cell: 9.580 9.580 11.914 Å, 128.44 128.46 88.17°
Element x y z (fractional)
Tb 0.500 0.500 0.500
Tb 0.000 0.000 0.000
Pm 0.251 0.750 0.000
Pm 0.750 0.249 0.500
Pm 0.250 0.751 0.500
Pm 0.749 0.250 0.000
Pm 0.719 0.723 0.971
Pm 0.777 0.781 0.529
Pm 0.223 0.219 0.471
Pm 0.281 0.277 0.029
Pr 0.000 0.500 0.000
Pr 0.000 0.500 0.500
Dy 0.500 0.000 0.000
Dy 0.500 0.000 0.500
Dy 0.000 0.000 0.500
Dy 0.500 0.500 0.000



No. 3
A plane-wave DFT calculation with GGA-PBE was carried out for a relaxed structure of Tb2PmPr4Dy2.

Computed properties:
**Electronic total energy**: -4.69 eV per atom
**Total magnetization**: 0.000 Bohr magnetons per cell
**DOS at the Fermi energy**: 1.508 states/eV/atom
**Formation energy from the elements**: 0.41 kcal/mol of atoms

Cell: 5.137 8.135 8.117 Å, 107.40 90.00 108.40°
Element x y z (fractional)
Tb 0.889 0.777 0.331
Tb 0.111 0.223 0.669
Pm 0.000 0.000 0.000
Pr 0.777 0.554 0.669
Pr 0.223 0.446 0.331
Pr 0.554 0.108 0.332
Pr 0.446 0.892 0.668
Dy 0.332 0.664 0.001
Dy 0.668 0.336 0.999



No. 4
A plane-wave DFT calculation with GGA-PBE was carried out for a relaxed structure of Tb2Pm2Pr4Dy.

Computed properties:
**Electronic total energy**: -4.70 eV per atom
**Total magnetization**: 0.000 Bohr magnetons per cell
**DOS at the Fermi energy**: 1.615 states/eV/atom
**Formation energy from the elements**: 0.43 kcal/mol of atoms

Cell: 5.169 8.170 8.135 Å, 107.60 90.00 108.44°
Element x y z (fractional)
Tb 0.333 0.667 0.000
Tb 0.667 0.333 0.000
Pm 0.888 0.777 0.330
Pm 0.112 0.223 0.670
Pr 0.778 0.556 0.670
Pr 0.222 0.444 0.330
Pr 0.555 0.109 0.331
Pr 0.445 0.891 0.669
Dy 0.000 0.000 0.000



No. 5
A plane-wave DFT calculation with GGA-PBE was carried out for a relaxed structure of Tb6PmPr2Dy.

Computed properties:
**Electronic total energy**: -4.55 eV per atom
**Total magnetization**: 0.000 Bohr magnetons per cell
**DOS at the Fermi energy**: 1.490 states/eV/atom
**Formation energy from the elements**: 2.77 kcal/mol of atoms

Cell: 9.852 8.825 8.825 Å, 118.15 94.89 94.89°
Element x y z (fractional)
Tb 0.057 0.123 0.743
Tb 0.443 0.257 0.877
Tb 0.943 0.877 0.257
Tb 0.557 0.743 0.123
Tb 0.313 0.974 0.421
Tb 0.187 0.579 0.026
Tb 0.687 0.026 0.579
Tb 0.813 0.421 0.974
Tb 0.121 0.707 0.499
Tb 0.379 0.501 0.293
Tb 0.879 0.293 0.501
Tb 0.621 0.499 0.707
Pm 0.250 0.405 0.595
Pm 0.750 0.595 0.405
Pr 0.459 0.812 0.708
Pr 0.041 0.292 0.188
Pr 0.541 0.188 0.292
Pr 0.959 0.708 0.812
Dy 0.250 0.984 0.016
Dy 0.750 0.016 0.984



No. 6
A plane-wave DFT calculation with GGA-PBE was carried out for a relaxed structure of Tb2Pm4PrDy2.

Computed properties:
**Electronic total energy**: -4.68 eV per atom
**Total magnetization**: 0.000 Bohr magnetons per cell
**DOS at the Fermi energy**: 1.461 states/eV/atom
**Formation energy from the elements**: 0.37 kcal/mol of atoms

Cell: 5.102 8.081 8.075 Å, 107.43 90.00 108.40°
Element x y z (fractional)
Tb 0.889 0.777 0.333
Tb 0.111 0.223 0.667
Pm 0.777 0.554 0.668
Pm 0.223 0.446 0.332
Pm 0.555 0.110 0.333
Pm 0.445 0.890 0.667
Pr 0.000 0.000 0.000
Dy 0.332 0.664 0.001
Dy 0.668 0.336 0.999



No. 7
A plane-wave DFT calculation with GGA-PBE was carried out for a relaxed structure of Tb6Pm3Pr2Dy.

Computed properties:
**Electronic total energy**: -4.67 eV per atom
**Total magnetization**: 0.000 Bohr magnetons per cell
**DOS at the Fermi energy**: 1.246 states/eV/atom
**Formation energy from the elements**: 0.29 kcal/mol of atoms

Cell: 6.253 6.253 11.920 Å, 95.01 95.01 119.98°
Element x y z (fractional)
Tb 0.916 0.584 0.750
Tb 0.751 0.751 0.251
Tb 0.084 0.416 0.250
Tb 0.584 0.916 0.750
Tb 0.249 0.249 0.749
Tb 0.416 0.084 0.250
Pm 0.167 0.833 0.500
Pm 0.833 0.167 0.500
Pm 0.500 0.500 0.500
Pr 0.334 0.666 0.000
Pr 0.666 0.334 0.000
Dy 0.000 0.000 0.000



No. 8
A plane-wave DFT calculation with GGA-PBE was carried out for a relaxed structure of Pm3PrDy2Te6.

Computed properties:
**Electronic total energy**: -5.29 eV per atom
**Total magnetization**: 0.000 Bohr magnetons per cell
**Formation energy without anion corrections**: -1.371 eV/atom
**DOS at the Fermi energy**: 0.562 states/eV/atom

Cell: 4.410 8.941 9.918 Å, 102.71 102.84 90.00°
Element x y z (fractional)
Pm 0.500 0.500 0.000
Pm 0.839 0.166 0.678
Pm 0.161 0.834 0.322
Pr 0.500 0.000 0.000
Dy 0.835 0.669 0.670
Dy 0.165 0.331 0.330
Te 0.329 0.908 0.659
Te 0.670 0.579 0.339
Te 0.671 0.092 0.341
Te 0.004 0.256 0.008
Te 0.996 0.744 0.992
Te 0.330 0.421 0.661



No. 9
A plane-wave DFT calculation with GGA-PBE was carried out for a relaxed structure of Pm3Pr3DyTe8.

Computed properties:
**Electronic total energy**: -5.34 eV per atom
**Total magnetization**: 0.000 Bohr magnetons per cell
**Formation energy without anion corrections**: -1.449 eV/atom
**DOS at the Fermi energy**: 0.485 states/eV/atom

Cell: 8.942 8.942 8.967 Å, 119.91 90.00 120.00°
Element x y z (fractional)
Pm 0.500 0.000 0.500
Pm 0.500 0.500 0.500
Pm 0.000 0.500 0.500
Pr 0.000 0.000 0.000
Pr 0.000 0.500 0.000
Pr 0.500 0.500 0.000
Dy 0.000 0.000 0.500
Te 0.252 0.503 0.255
Te 0.748 0.497 0.745
Te 0.751 0.501 0.254
Te 0.249 0.499 0.746
Te 0.751 0.003 0.254
Te 0.249 0.997 0.746
Te 0.252 0.003 0.254
Te 0.748 0.997 0.746



No. 10
A plane-wave DFT calculation with GGA-PBE was carried out for a relaxed structure of Pm2Pr3DyTe6.

Computed properties:
**Electronic total energy**: -5.35 eV per atom
**Total magnetization**: 0.000 Bohr magnetons per cell
**Formation energy without anion corrections**: -1.404 eV/atom
**DOS at the Fermi energy**: 0.544 states/eV/atom

Cell: 4.448 9.029 10.024 Å, 103.17 102.82 90.00°
Element x y z (fractional)
Pm 0.831 0.664 0.663
Pm 0.169 0.336 0.337
Pr 0.500 0.500 0.000
Pr 0.830 0.166 0.660
Pr 0.170 0.834 0.340
Dy 0.500 0.000 0.000
Te 0.339 0.916 0.677
Te 0.667 0.580 0.334
Te 0.661 0.084 0.323
Te 0.000 0.240 0.001
Te 0.000 0.760 0.999
Te 0.333 0.420 0.666



No. 11
A plane-wave DFT calculation with GGA-PBE was carried out for a relaxed structure of Pm2PrDy3Te6.

Computed properties:
**Electronic total energy**: -5.26 eV per atom
**Total magnetization**: 0.000 Bohr magnetons per cell
**Formation energy without anion corrections**: -1.352 eV/atom
**DOS at the Fermi energy**: 0.506 states/eV/atom

Cell: 4.378 8.933 9.922 Å, 104.07 102.75 90.00°
Element x y z (fractional)
Pm 0.834 0.668 0.668
Pm 0.166 0.332 0.332
Pr 0.500 0.000 0.000
Dy 0.500 0.500 0.000
Dy 0.835 0.167 0.670
Dy 0.165 0.833 0.330
Te 0.329 0.921 0.658
Te 0.665 0.589 0.330
Te 0.671 0.079 0.342
Te 0.998 0.259 0.997
Te 0.002 0.741 0.003
Te 0.335 0.411 0.670



No. 12
A plane-wave DFT calculation with GGA-PBE was carried out for a relaxed structure of Pm3PrDy3Te8.

Computed properties:
**Electronic total energy**: -5.28 eV per atom
**Total magnetization**: 0.000 Bohr magnetons per cell
**Formation energy without anion corrections**: -1.415 eV/atom
**DOS at the Fermi energy**: 0.454 states/eV/atom

Cell: 8.797 8.796 8.800 Å, 119.99 90.00 120.00°
Element x y z (fractional)
Pm 0.000 0.000 0.000
Pm 0.000 0.500 0.000
Pm 0.500 0.500 0.000
Pr 0.000 0.000 0.500
Dy 0.500 0.000 0.500
Dy 0.500 0.500 0.500
Dy 0.000 0.500 0.500
Te 0.253 0.506 0.259
Te 0.747 0.494 0.741
Te 0.740 0.479 0.246
Te 0.260 0.521 0.754
Te 0.740 0.006 0.246
Te 0.260 0.994 0.754
Te 0.266 0.006 0.246
Te 0.734 0.994 0.754